The following is a PBE calculation of a geometry-optimized KSc structure, from Alexandria via LeMat-Bulk.

POSCAR file:
```
KSc
1.0
13.661 0.000 0.000
0.000 3.503 0.000
0.000 0.000 13.925
Sc K
8 8
Direct
0.380 0.250 0.355 Sc
0.581 0.250 0.462 Sc
0.081 0.250 0.038 Sc
0.919 0.750 0.962 Sc
0.620 0.750 0.645 Sc
0.120 0.750 0.855 Sc
0.880 0.250 0.145 Sc
0.419 0.750 0.538 Sc
0.885 0.250 0.708 K
0.838 0.750 0.423 K
0.385 0.250 0.792 K
0.615 0.750 0.208 K
0.338 0.750 0.077 K
0.662 0.250 0.923 K
0.162 0.250 0.577 K
0.115 0.750 0.292 K
```

Values from the calculation:
calculated density: 1.68 g/cm3
formation energy: 0.4605 eV per atom
SG: Pnma
magnetic moment: 1.4 μB/cell